# 1
Entry from Alexandria via LeMat-Bulk: Pm6Y8Er after structural relaxation (PBE).

```
15
Lattice="9.7938 0.0000 0.0000 4.8969 8.4817 0.0000 4.8969 2.8272 5.9775" Properties=species:S:1:pos:R:3 pbc="T T T"
Pm 5.8896 5.2645 0.1818
Pm 17.2979 8.8407 5.7957
Pm 13.6981 6.0444 5.7957
Pm 13.0763 10.5600 5.7957
Pm 6.5114 0.7489 0.1818
Pm 2.2898 2.4682 0.1818
Y 9.1839 9.2275 2.9283
Y 6.3945 6.9128 3.0492
Y 13.1932 4.3962 2.9283
Y 12.5832 7.9692 3.0492
Y 7.0045 3.3397 2.9283
Y 10.4038 2.0814 3.0492
Y 9.7939 5.6545 4.5123
Y 9.7938 5.6545 1.4652
Er 0.0000 0.0000 0.0000
```

## Properties
Density of states at the Fermi level = 1.34 states/eV per atom
Energy above the most stable polymorph in this dataset = 0 meV per atom
Space-group type = R-3 (148)

---

# 2
Entry from Alexandria via LeMat-Bulk: Pm4Y4Er after structural relaxation (PBE).

```
9
Lattice="4.9516 0.0000 1.1703 1.8277 7.1018 3.3271 0.4136 1.9016 9.3102" Properties=species:S:1:pos:R:3 pbc="T T T"
Pm 4.7355 2.3486 2.0846
Pm 1.7170 1.4189 3.7954
Pm 2.4575 6.6548 11.7230
Pm 5.4759 7.5845 10.0122
Er 2.4758 0.0000 0.5852
Y 0.9561 2.8522 7.0148
Y 6.2368 6.1511 6.7928
Y 3.9772 3.8044 5.2930
Y 3.2158 5.1990 8.5146
```

## Properties
Density of states at the Fermi level = 1.41 states/eV per atom
E = -5.47 eV/atom
Space-group type = C2/m (12)

---

# 3
Entry from Alexandria via LeMat-Bulk: PmYEr2 after structural relaxation (PBE).

```
8
Lattice="3.5493 0.0000 0.0000 -1.7747 6.5314 -0.2108 0.0000 -0.4198 11.4110" Properties=species:S:1:pos:R:3 pbc="T T T"
Y 0.0000 4.5908 5.5601
Y 1.7747 1.5209 5.6401
Er 0.0000 6.3222 2.3692
Er 0.0000 2.7026 8.4030
Er 1.7747 3.4091 2.7972
Er 1.7746 -0.2105 8.8309
Pm 1.7747 4.3858 11.0126
Pm 0.0000 1.7259 0.1875
```

## Properties
Density of states at the Fermi level = 1.64 states/eV per atom
Energy above the most stable polymorph in this dataset = 118 meV per atom
Space-group type = C2/m (12)

---

# 4
Entry from Alexandria via LeMat-Bulk: PmY8Er6 after structural relaxation (PBE).

```
15
Lattice="6.5439 0.0000 0.0000 0.0000 8.1340 -4.6962 0.0000 0.0000 9.3923" Properties=species:S:1:pos:R:3 pbc="T T T"
Pm 3.2720 0.0000 0.0000
Y 5.8957 2.7593 -1.3315
Y 5.8957 5.6013 2.9723
Y 1.1654 5.4227 0.0000
Y 5.8957 7.9075 -1.6409
Y 0.6482 2.5327 1.7239
Y 5.3786 2.7113 4.6962
Y 0.6482 5.3747 6.0276
Y 0.6482 0.2265 6.3370
Er 2.6693 2.6146 7.0309
Er 3.8746 3.3524 1.0836
Er 3.8746 7.3963 1.2511
Er 3.8746 5.5194 -2.3347
Er 2.6693 4.7816 3.6125
Er 2.6693 0.7377 3.4451
```

## Properties
Density of states at the Fermi level = 1.52 states/eV per atom
Energy above the most stable polymorph in this dataset = 105 meV per atom
Space-group type = P-3 (147)